DFT (GGA-PBE) results for ZrZnSb2Te after structural relaxation.

POSCAR file:
```
ZrZnSb2Te
1.0
5.596 0.000 0.000
0.000 5.596 0.000
0.000 0.000 5.549
Sb Zr Zn Te
2 1 1 1
Direct
0.000 0.500 0.000 Sb
0.500 0.000 0.000 Sb
0.000 0.000 0.000 Zr
0.500 0.500 0.500 Zn
0.000 0.000 0.500 Te
```

Values from the calculation:
Total DFT energy (no corrections)   -4.01 eV per atom
Space-group type   P4/mmm, No. 123
D(E_F)   1.01 states/eV per atom
ΔE_f (raw)   0.236 eV per atom
M_tot   0.0 μB per cell
ΔE to the lowest computed polymorph   0.000 eV/atom